[1]
A geometry-optimized BaNaSn2Bi structure. Source: the Alexandria database, functional GGA-PBE.

Cell and atoms, written as extended XYZ:
```
5
Lattice="-2.4388 2.5600 6.8902 2.4388 -2.5600 6.8902 2.4388 2.5600 -6.8902" Properties=species:S:1:pos:R:3 pbc="T T T"
Ba 0.0000 0.0000 0.0000
Na 2.4388 0.0000 3.4114
Sn 0.0000 0.0000 8.4906
Sn 0.0000 2.5600 3.3950
Bi 0.0000 0.0000 5.4305
```

Results
electronic total energy	-3.465	eV per atom

[2]
A geometry-optimized TaBe3Si structure. Source: the Alexandria database, functional GGA-PBE.

Cell and atoms, written as extended XYZ:
```
5
Lattice="4.4796 0.0000 0.0000 0.0000 4.4796 0.0000 0.0000 0.0000 4.4796" Properties=species:S:1:pos:R:3 pbc="T T T"
Ta 0.0000 0.0000 0.0000
Be 0.0000 0.0000 2.2398
Be 0.0000 2.2398 0.0000
Be 2.2398 0.0000 0.0000
Si 2.2398 2.2398 2.2398
```

Results
formation energy (no corrections)	9.04	eV per formula unit
energy above the most stable polymorph in this dataset	842	meV/atom
electronic total energy	-3.882	eV per atom

[3]
A geometry-optimized NdLuGaCu structure. Source: the Alexandria database, functional GGA-PBE.

Cell and atoms, written as extended XYZ:
```
4
Lattice="0.0000 3.5636 3.5636 3.5636 0.0000 3.5636 3.5636 3.5636 0.0000" Properties=species:S:1:pos:R:3 pbc="T T T"
Nd 0.0000 0.0000 0.0000
Lu 3.5636 3.5636 3.5636
Ga 1.7818 1.7818 1.7818
Cu 5.3453 5.3453 5.3453
```

Results
electronic total energy	-4.479	eV per atom

[4]
A geometry-optimized GePOsO2 structure. Source: the Alexandria database, functional GGA-PBE.

Cell and atoms, written as extended XYZ:
```
5
Lattice="3.4537 0.0000 0.0000 0.0000 3.4537 0.0000 0.0000 0.0000 7.4701" Properties=species:S:1:pos:R:3 pbc="T T T"
Ge 0.0000 0.0000 0.0000
P 0.0000 0.0000 3.7350
Os 1.7269 1.7269 3.7350
O 0.0000 1.7269 0.0000
O 1.7269 0.0000 0.0000
```

Results
formation energy (no corrections)	0.79	eV per formula unit
energy above the most stable polymorph in this dataset	434	meV/atom
electronic total energy	-6.077	eV per atom

[5]
A geometry-optimized Be2CoSiNi structure. Source: the Alexandria database, functional GGA-PBE.

Cell and atoms, written as extended XYZ:
```
5
Lattice="3.9091 0.0000 0.0000 0.0000 3.9091 0.0000 0.0000 0.0000 4.1417" Properties=species:S:1:pos:R:3 pbc="T T T"
Be 0.0000 1.9546 0.0000
Be 1.9546 0.0000 0.0000
Co 0.0000 0.0000 2.0709
Si 1.9546 1.9546 2.0709
Ni 1.9546 1.9546 0.0000
```

Results
formation energy (no corrections)	2.57	eV per formula unit
electronic total energy	-4.639	eV per atom

[6]
A geometry-optimized MgCuHgRh structure. Source: the Alexandria database, functional GGA-PBE.

Cell and atoms, written as extended XYZ:
```
4
Lattice="3.8817 0.0000 0.0000 0.0000 3.9523 0.0000 0.0000 0.0000 4.1615" Properties=species:S:1:pos:R:3 pbc="T T T"
Mg 0.0000 0.0000 0.0000
Cu 1.9409 0.0000 2.0808
Hg 0.0000 1.9762 2.0808
Rh 1.9409 1.9762 0.0000
```

Results
electronic total energy	-3.536	eV per atom